Density functional theory data (GGA-PBE) for AlIr2Os after structural relaxation.

Cell: 4.698 4.698 4.698 Å, 131.33 131.33 71.28°
Atoms (fractional coordinates):
Ir: 0.500 0.500 0.000
Ir: 0.000 0.000 0.000
Al: 0.750 0.250 0.500
Os: 0.250 0.750 0.500

Properties
E_form, eV per atom: -0.26
Total energy, Ha/atom: -0.3100
Total magnetic moment, μB/cell: 0.0
V, Å³/atom: 14.304